{
  "formula": "La3Y2Sc2",
  "functional": "PBE-GGA",
  "state": "optimized geometry",
  "lattice": [[1.799, -17.671, 0.000], [1.799, 17.671, 0.000], [0.000, 0.000, 3.556]],
  "species": ["La", "La", "La", "Y", "Y", "Sc", "Sc"],
  "fractional_positions": [[0.000, 0.000, 0.000], [0.423, 0.577, 0.500], [0.577, 0.423, 0.500], [0.293, 0.707, 0.500], [0.707, 0.293, 0.500], [0.145, 0.855, 0.000], [0.855, 0.145, 0.000]],
  "e_form_kj_per_mol_atoms": 11.2,
  "density_g_cm3": 5.026,
  "volume_a3_per_atom": 32.30
}

---

{
  "formula": "Nd2HgPd9",
  "functional": "PBE-GGA",
  "state": "optimized geometry",
  "lattice": [[4.159, 0.000, 0.000], [0.000, 4.159, 0.000], [0.000, 0.000, 12.463]],
  "species": ["Nd", "Nd", "Hg", "Pd", "Pd", "Pd", "Pd", "Pd", "Pd", "Pd", "Pd", "Pd"],
  "fractional_positions": [[0.000, 0.000, 0.172], [0.000, 0.000, 0.828], [0.000, 0.000, 0.500], [0.000, 0.500, 0.000], [0.000, 0.500, 0.340], [0.000, 0.500, 0.660], [0.500, 0.000, 0.000], [0.500, 0.000, 0.340], [0.500, 0.000, 0.660], [0.500, 0.500, 0.168], [0.500, 0.500, 0.500], [0.500, 0.500, 0.832]],
  "e_form_kj_per_mol_atoms": -52.2,
  "density_g_cm3": 11.144,
  "volume_a3_per_atom": 17.97
}